DFT (PBE-GGA) results for a relaxed structure of Ac5Sm3S12.

Lattice parameters (Å, degrees): 14.7362 14.7362 14.7362 109.47 109.47 109.47
Positions (direct):
1 Ac 0.2500 0.8750 0.1250
2 Ac 0.5000 0.5000 0.0000
3 Ac 0.0000 0.0000 0.0000
4 Ac 0.0000 0.0000 0.5000
5 Ac 0.6250 0.7500 0.8750
6 Ac 0.1250 0.3750 0.2500
7 Ac 0.5000 0.0000 0.5000
8 Ac 0.7500 0.6250 0.3750
9 Ac 0.3750 0.1250 0.7500
10 Ac 0.8750 0.6250 0.7500
11 Ac 0.6250 0.8750 0.2500
12 Ac 0.8750 0.2500 0.6250
13 Ac 0.5000 0.0000 0.0000
14 Ac 0.1250 0.7500 0.3750
15 Ac 0.0000 0.5000 0.5000
16 Ac 0.0000 0.5000 0.0000
17 Ac 0.3750 0.2500 0.1250
18 Ac 0.2500 0.3750 0.6250
19 Ac 0.5000 0.5000 0.5000
20 Ac 0.7500 0.1250 0.8750
21 S 0.6733 0.2330 0.5999
22 S 0.0734 0.1733 0.4403
23 S 0.5734 0.9403 0.6733
24 S 0.4001 0.1331 0.5734
25 S 0.4266 0.3669 0.5999
26 S 0.7670 0.4403 0.3669
27 S 0.3669 0.4266 0.0999
28 S 0.6733 0.4403 0.5734
29 S 0.7670 0.3267 0.9001
30 S 0.6331 0.5734 0.9001
31 S 0.8267 0.9266 0.0597
32 S 0.9001 0.8267 0.7670
33 S 0.4403 0.7670 0.8669
34 S 0.4266 0.0597 0.3267
35 S 0.0734 0.9001 0.1331
36 S 0.9266 0.8267 0.5597
37 S 0.8669 0.5999 0.9266
38 S 0.2670 0.8669 0.9403
39 S 0.1331 0.7330 0.5597
40 S 0.6331 0.0597 0.2330
41 S 0.0999 0.1733 0.2330
42 S 0.8267 0.9001 0.2670
43 S 0.3267 0.7670 0.4001
44 S 0.1733 0.0999 0.7330
45 S 0.9403 0.3669 0.2670
46 S 0.1733 0.0734 0.9403
47 S 0.2330 0.6733 0.0999
48 S 0.7330 0.1331 0.0597
49 S 0.9001 0.0734 0.6331
50 S 0.5597 0.2330 0.1331
51 S 0.5999 0.7330 0.6733
52 S 0.3267 0.5597 0.4266
53 S 0.1331 0.4001 0.0734
54 S 0.0999 0.9266 0.3669
55 S 0.4001 0.2670 0.3267
56 S 0.9266 0.0999 0.8669
57 S 0.0597 0.6331 0.7330
58 S 0.5597 0.3267 0.9266
59 S 0.2670 0.4001 0.8267
60 S 0.4403 0.6733 0.0734
61 S 0.5734 0.6331 0.4001
62 S 0.8669 0.2670 0.4403
63 S 0.3669 0.9403 0.7670
64 S 0.9403 0.5734 0.1733
65 S 0.2330 0.5597 0.6331
66 S 0.7330 0.5999 0.1733
67 S 0.5999 0.8669 0.4266
68 S 0.0597 0.4266 0.8267
69 Sm 0.1250 0.8750 0.7500
70 Sm 0.2500 0.1250 0.3750
71 Sm 0.2500 0.6250 0.8750
72 Sm 0.6250 0.2500 0.3750
73 Sm 0.3750 0.7500 0.6250
74 Sm 0.8750 0.7500 0.1250
75 Sm 0.6250 0.3750 0.7500
76 Sm 0.7500 0.8750 0.6250
77 Sm 0.1250 0.2500 0.8750
78 Sm 0.8750 0.1250 0.2500
79 Sm 0.3750 0.6250 0.2500
80 Sm 0.7500 0.3750 0.1250

Computed properties:
- space-group type = Ia-3d, No. 230
- formation energy without anion corrections (kJ per mole of atoms) = -173.0